{
  "formula": "Ba2NaSrAu",
  "functional": "PBE-GGA",
  "state": "optimized geometry",
  "total_energy_ry_per_atom": -0.172,
  "magmom_total_mub_per_atom": 0.000,
  "lattice": [[6.4730, 0.0000, 0.0000], [0.0000, 6.4730, 0.0000], [0.0000, 0.0000, 6.2120]],
  "species": ["Ba", "Ba", "Na", "Sr", "Au"],
  "frac_coords": [[0.0000, 0.5000, 0.0000], [0.5000, 0.0000, 0.0000], [0.0000, 0.0000, 0.5000], [0.5000, 0.5000, 0.5000], [0.5000, 0.5000, 0.0000]]
}

---

{
  "formula": "BaNaSrAu",
  "functional": "PBE-GGA",
  "state": "optimized geometry",
  "total_energy_ry_per_atom": -0.178,
  "magmom_total_mub_per_atom": 0.000,
  "lattice": [[4.0251, 0.0000, 0.0000], [0.0000, 4.0251, 0.0000], [0.0000, 0.0000, 9.4907]],
  "species": ["Ba", "Na", "Sr", "Au"],
  "frac_coords": [[0.0000, 0.0000, 0.0000], [0.5000, 0.5000, 0.3175], [0.0000, 0.0000, 0.6109], [0.5000, 0.5000, 0.7918]]
}

---

{
  "formula": "BaNaSr2Au",
  "functional": "PBE-GGA",
  "state": "optimized geometry",
  "total_energy_ry_per_atom": -0.169,
  "magmom_total_mub_per_atom": 0.000,
  "lattice": [[6.1971, 0.0000, 0.0000], [0.0000, 6.1971, 0.0000], [0.0000, 0.0000, 6.4299]],
  "species": ["Ba", "Na", "Sr", "Sr", "Au"],
  "frac_coords": [[0.0000, 0.0000, 0.0000], [0.5000, 0.5000, 0.0000], [0.0000, 0.5000, 0.5000], [0.5000, 0.0000, 0.5000], [0.0000, 0.0000, 0.5000]]
}

---

{
  "formula": "Ba2NaSrAu",
  "functional": "PBE-GGA",
  "state": "optimized geometry",
  "total_energy_ry_per_atom": -0.165,
  "magmom_total_mub_per_atom": 0.000,
  "lattice": [[6.4562, 0.0000, 0.0000], [0.0000, 6.4562, 0.0000], [0.0000, 0.0000, 5.9408]],
  "species": ["Ba", "Ba", "Na", "Sr", "Au"],
  "frac_coords": [[0.0000, 0.5000, 0.0000], [0.5000, 0.0000, 0.0000], [0.0000, 0.0000, 0.5000], [0.5000, 0.5000, 0.5000], [0.0000, 0.0000, 0.0000]]
}

---

{
  "formula": "Ba2Na2Sr2Au",
  "functional": "PBE-GGA",
  "state": "optimized geometry",
  "total_energy_ry_per_atom": -0.154,
  "magmom_total_mub_per_atom": 0.000,
  "lattice": [[9.1569, -2.4450, 0.0000], [9.1569, 2.4450, 0.0000], [-3.4193, 0.0000, 7.5843]],
  "species": ["Ba", "Ba", "Na", "Na", "Sr", "Sr", "Au"],
  "frac_coords": [[0.1955, 0.1955, 0.1840], [0.8045, 0.8045, 0.8160], [0.1206, 0.1206, 0.6016], [0.8794, 0.8794, 0.3984], [0.4948, 0.4948, 0.2346], [0.5052, 0.5052, 0.7654], [0.0000, 0.0000, 0.0000]]
}

---

{
  "formula": "BaNaSr2Au",
  "functional": "PBE-GGA",
  "state": "optimized geometry",
  "total_energy_ry_per_atom": -0.163,
  "magmom_total_mub_per_atom": 0.000,
  "lattice": [[6.1694, 0.0000, 0.0000], [0.0000, 6.1694, 0.0000], [0.0000, 0.0000, 6.0287]],
  "species": ["Ba", "Na", "Sr", "Sr", "Au"],
  "frac_coords": [[0.0000, 0.0000, 0.0000], [0.5000, 0.5000, 0.0000], [0.0000, 0.5000, 0.5000], [0.5000, 0.0000, 0.5000], [0.5000, 0.5000, 0.5000]]
}

---

V, respectively: 52.1; 38.4; 49.4; 49.5; 48.5; 45.9 Å³ per atom.